Rb2Pu3InO12 PBE-GGA relaxed; ΔE_f (raw) = -2.26 eV/atom; Fermi-level density of states = 8.5 states/eV/f.u.; space group = R-3m (166)
1.0
-1.518 0.499 -7.462
-7.214 -1.138 -2.210
-3.951 6.074 -2.392
Rb Pu In O
2 3 1 12
direct
0.626 0.626 0.626 Rb
0.374 0.374 0.374 Rb
0.500 0.000 0.000 Pu
0.000 0.500 0.000 Pu
0.000 0.000 0.500 Pu
0.000 0.000 0.000 In
0.313 0.313 0.932 O
0.930 0.930 0.331 O
0.331 0.930 0.930 O
0.932 0.313 0.313 O
0.930 0.331 0.930 O
0.313 0.932 0.313 O
0.687 0.687 0.068 O
0.070 0.070 0.669 O
0.669 0.070 0.070 O
0.068 0.687 0.687 O
0.070 0.669 0.070 O
0.687 0.068 0.687 O